1.
DFT (PBE) results for a geometry-optimized Ce3PmTh4P8 structure.

POSCAR file:
```
Ce3PmTh4P8
1.0
-4.606 -2.017 -6.547
1.271 -7.991 1.568
-3.090 4.922 5.862
P Th Ce Pm
8 4 3 1
Direct
0.252 0.252 0.002
0.750 0.252 0.002
0.250 0.748 0.998
0.748 0.748 0.998
0.749 0.747 0.498
0.250 0.748 0.501
0.251 0.253 0.502
0.750 0.252 0.499
0.000 0.000 0.000
0.500 0.000 0.000
0.000 0.000 0.500
0.500 0.000 0.500
0.500 0.500 0.500
0.500 0.500 0.000
0.000 0.500 0.500
0.000 0.500 0.000
```

Results
Symmetry: R-3m
ρ: 7.29 g/cm3
Total magnetization: 1.28 Bohr magnetons per cell
Energy relative to the elements: -24.8 eV/f.u.

***

2.
DFT (PBE) results for a geometry-optimized CsSrHg2Sb2 structure.

POSCAR file:
```
CsSrHg2Sb2
1.0
-3.775 -2.832 -1.971
3.595 -2.193 2.901
-5.389 1.661 7.934
Sb Sr Hg Cs
2 1 2 1
Direct
0.333 0.667 0.713
0.667 0.333 0.287
0.000 0.000 0.500
0.667 0.333 0.673
0.333 0.667 0.327
0.000 0.000 0.000
```

Results
Symmetry: P-3m1
Formation energy from raw total energies: -501 meV/atom
ρ: 6.52 g/cm3
Total magnetization: 0.00 Bohr magnetons per cell

***

3.
DFT (PBE) results for a geometry-optimized TlHgCl2 structure.

POSCAR file:
```
TlHgCl2
1.0
4.342 0.000 0.000
2.171 3.760 0.000
2.171 1.253 7.605
Cl Tl Hg
2 1 1
Direct
0.248 0.248 0.257
0.086 0.086 0.741
0.667 0.667 0.998
0.499 0.499 0.504
```

Results
Symmetry: R3m
Formation energy from raw total energies: -523 meV/atom
E above lowest polymorph: 0.104 eV per atom
ρ: 6.36 g/cm3
Total magnetization: 0.00 Bohr magnetons per cell

***

4.
DFT (PBE) results for a geometry-optimized LaWC2 structure.

POSCAR file:
```
LaWC2
1.0
-2.253 1.603 -4.472
-4.566 -2.096 1.549
-4.691 4.200 0.778
W C La
2 4 2
Direct
0.000 0.000 0.000
0.750 0.250 0.500
0.724 0.125 0.250
0.375 0.276 0.750
0.875 0.974 0.750
0.026 0.625 0.250
0.500 0.500 0.000
0.250 0.750 0.500
```

Results
Symmetry: I-42d
E above lowest polymorph: 0.088 eV per atom
ρ: 8.10 g/cm3
Total magnetization: 0.00 Bohr magnetons per cell
Energy relative to the elements: 0.8 eV/f.u.

***

5.
DFT (PBE) results for a geometry-optimized Na2CeNpS6 structure.

POSCAR file:
```
Na2CeNpS6
1.0
6.815 0.000 -0.055
0.000 7.275 0.000
-0.019 0.000 9.994
Ce S Na Np
2 12 4 2
Direct
0.000 0.500 0.500
0.500 0.000 0.000
0.181 0.204 0.063
0.681 0.296 0.563
0.615 0.037 0.259
0.319 0.704 0.437
0.885 0.537 0.241
0.385 0.963 0.741
0.302 0.688 0.060
0.802 0.812 0.560
0.115 0.463 0.759
0.819 0.796 0.937
0.198 0.188 0.440
0.698 0.312 0.940
0.026 0.921 0.249
0.474 0.421 0.251
0.526 0.579 0.749
0.974 0.079 0.751
0.000 0.500 0.000
0.500 0.000 0.500
```

Results
Symmetry: P2_1/c
Formation energy from raw total energies: -1207 meV/atom
ρ: 4.13 g/cm3
Total magnetization: 2.33 Bohr magnetons per cell

***

6.
DFT (PBE) results for a geometry-optimized MgTi2Ni6 structure.

POSCAR file:
```
MgTi2Ni6
1.0
-1.386 -0.314 -5.342
4.434 1.838 -1.259
-0.617 -4.904 0.448
Ni Ti Mg
6 2 1
Direct
0.168 0.176 0.352
0.832 0.824 0.648
0.168 0.648 0.824
0.832 0.824 0.176
0.168 0.176 0.824
0.832 0.352 0.176
0.323 0.667 0.333
0.677 0.333 0.667
0.500 0.000 0.000
```

Results
Symmetry: P-3m1
ρ: 6.65 g/cm3
Total magnetization: 0.00 Bohr magnetons per cell
Energy relative to the elements: -1.1 eV/f.u.

***

7.
DFT (PBE) results for a geometry-optimized MgZr2Pd structure.

POSCAR file:
```
MgZr2Pd
1.0
-7.530 -2.317 -0.701
-0.249 -1.537 7.755
-4.745 0.703 4.021
Pd Zr Mg
2 4 2
Direct
0.750 0.250 0.500
0.000 0.000 0.000
0.080 0.625 0.250
0.375 0.330 0.750
0.670 0.125 0.250
0.875 0.920 0.750
0.250 0.750 0.500
0.500 0.500 0.000
```

Results
Symmetry: I-42d
ρ: 5.92 g/cm3
Total magnetization: 0.00 Bohr magnetons per cell
Energy relative to the elements: 0.0 eV/f.u.

***

8.
DFT (PBE) results for a geometry-optimized CdPSN2 structure.

POSCAR file:
```
CdPSN2
1.0
-1.726 1.177 -2.781
2.740 -0.735 -2.012
-2.173 -5.466 -0.964
P N S Cd
1 2 1 1
Direct
0.000 0.000 0.000
0.000 0.500 0.000
0.500 0.000 0.000
0.000 0.000 0.500
0.500 0.500 0.500
```

Results
Symmetry: P4/mmm
Formation energy from raw total energies: 685 meV/atom
E above lowest polymorph: 0.000 eV per atom
ρ: 4.69 g/cm3
Total magnetization: 0.62 Bohr magnetons per cell

***

9.
DFT (PBE) results for a geometry-optimized Zr2V2Ga structure.

POSCAR file:
```
Zr2V2Ga
1.0
7.255 0.000 0.000
0.000 7.255 0.000
0.000 0.000 3.570
Zr Ga V
4 2 4
Direct
0.855 0.645 0.000
0.145 0.355 0.000
0.355 0.855 0.000
0.645 0.145 0.000
0.000 0.000 0.000
0.500 0.500 0.000
0.841 0.341 0.500
0.341 0.159 0.500
0.659 0.841 0.500
0.159 0.659 0.500
```

Results
Symmetry: P4/mbm
E above lowest polymorph: 0.401 eV per atom
ρ: 6.26 g/cm3
Total magnetization: 1.93 Bohr magnetons per cell
Energy relative to the elements: 1.7 eV/f.u.

***

10.
DFT (PBE) results for a geometry-optimized CeEr2GaC structure.

POSCAR file:
```
CeEr2GaC
1.0
-2.463 3.865 1.536
1.520 -0.827 4.518
3.876 2.785 -0.794
Er Ce Ga C
2 1 1 1
Direct
0.000 0.500 0.000
0.000 0.000 0.500
0.500 0.000 0.000
0.500 0.500 0.500
0.000 0.000 0.000
```

Results
Symmetry: P4/mmm
ρ: 8.17 g/cm3
Total magnetization: 0.31 Bohr magnetons per cell
Energy relative to the elements: -2.0 eV/f.u.

***

11.
DFT (PBE) results for a geometry-optimized Pr2AsO5 structure.

POSCAR file:
```
Pr2AsO5
1.0
-6.015 -2.369 3.049
3.630 -0.801 6.538
-2.152 8.860 2.280
O Pr As
20 8 4
Direct
0.065 0.859 0.878
0.408 0.875 0.097
0.762 0.398 0.721
0.100 0.953 0.349
0.435 0.359 0.122
0.738 0.898 0.279
0.600 0.547 0.349
0.400 0.453 0.651
0.908 0.625 0.097
0.006 0.681 0.606
0.592 0.125 0.903
0.092 0.375 0.903
0.994 0.319 0.394
0.238 0.602 0.279
0.565 0.641 0.878
0.262 0.102 0.721
0.506 0.819 0.606
0.935 0.141 0.122
0.494 0.181 0.394
0.900 0.047 0.651
0.272 0.120 0.976
0.078 0.356 0.650
0.578 0.144 0.650
0.772 0.380 0.976
0.922 0.644 0.350
0.422 0.856 0.350
0.228 0.620 0.024
0.728 0.880 0.024
0.084 0.895 0.687
0.416 0.395 0.313
0.584 0.605 0.687
0.916 0.105 0.313
```

Results
Symmetry: P2_1/c
Formation energy from raw total energies: -2519 meV/atom
E above lowest polymorph: 0.000 eV per atom
ρ: 5.74 g/cm3
Total magnetization: 3.66 Bohr magnetons per cell

***

12.
DFT (PBE) results for a geometry-optimized La2TbTl structure.

POSCAR file:
```
La2TbTl
1.0
-3.343 1.215 -1.149
-1.797 -1.783 -2.750
-6.741 -6.823 6.268
La Tb Tl
2 1 1
Direct
0.253 0.253 0.241
0.080 0.080 0.760
0.500 0.500 0.499
0.666 0.666 0.000
```

Results
Symmetry: Cm
E above lowest polymorph: 0.119 eV per atom
ρ: 7.83 g/cm3
Total magnetization: 0.03 Bohr magnetons per cell
Energy relative to the elements: -0.4 eV/f.u.

***

13.
DFT (PBE) results for a geometry-optimized BeAsAu structure.

POSCAR file:
```
BeAsAu
1.0
6.476 0.010 0.000
5.235 3.813 0.000
-5.855 -1.912 2.000
Be Au As
1 1 1
Direct
0.672 0.672 0.000
0.292 0.292 0.000
0.035 0.035 0.000
```

Results
Symmetry: I4mm
ρ: 9.46 g/cm3
Total magnetization: 0.00 Bohr magnetons per cell
Energy relative to the elements: 0.4 eV/f.u.

***

14.
DFT (PBE) results for a geometry-optimized TcIrOs2 structure.

POSCAR file:
```
TcIrOs2
1.0
4.726 0.001 0.000
-1.564 4.460 0.000
0.000 0.000 2.734
Os Tc Ir
2 1 1
Direct
0.000 0.000 0.000
0.500 0.500 0.000
0.500 0.000 0.500
0.000 0.500 0.500
```

Results
Symmetry: Cmmm
E above lowest polymorph: 0.040 eV per atom
ρ: 19.33 g/cm3
Total magnetization: 0.00 Bohr magnetons per cell
Energy relative to the elements: 0.1 eV/f.u.

***

15.
DFT (PBE) results for a geometry-optimized Mg2TcOsSe structure.

POSCAR file:
```
Mg2TcOsSe
1.0
-4.683 0.883 1.597
-1.137 -4.394 -0.907
1.343 -1.310 4.663
Mg Os Tc Se
2 1 1 1
Direct
0.500 0.000 0.000
0.000 0.000 0.500
0.000 0.000 0.000
0.000 0.500 0.000
0.500 0.500 0.500
```

Results
Symmetry: P4/mmm
Formation energy from raw total energies: 741 meV/atom
ρ: 5.91 g/cm3
Total magnetization: 1.94 Bohr magnetons per cell

***

16.
DFT (PBE) results for a geometry-optimized Ag2SbF5 structure.

POSCAR file:
```
Ag2SbF5
1.0
-1.325 5.771 -1.792
-5.011 -0.024 3.627
4.950 -1.697 1.552
Ag F Sb
2 5 1
Direct
0.761 0.261 0.522
0.261 0.761 0.522
0.225 0.225 0.977
0.752 0.752 0.504
0.225 0.751 0.977
0.751 0.225 0.977
0.751 0.751 0.977
0.050 0.050 0.100
```

Results
Symmetry: I4mm
Formation energy from raw total energies: -1605 meV/atom
ρ: 5.75 g/cm3
Total magnetization: 0.00 Bohr magnetons per cell

***

17.
DFT (PBE) results for a geometry-optimized Cd2Ag2Sb structure.

POSCAR file:
```
Cd2Ag2Sb
1.0
8.342 0.000 0.000
0.000 8.342 0.000
0.000 0.000 3.143
Ag Cd Sb
4 4 2
Direct
0.165 0.665 0.500
0.835 0.335 0.500
0.335 0.165 0.500
0.665 0.835 0.500
0.131 0.369 0.000
0.869 0.631 0.000
0.631 0.131 0.000
0.369 0.869 0.000
0.500 0.500 0.000
0.000 0.000 0.000
```

Results
Symmetry: P4/mbm
Formation energy from raw total energies: 85 meV/atom
E above lowest polymorph: 0.021 eV per atom
ρ: 8.54 g/cm3
Total magnetization: 0.00 Bohr magnetons per cell

***

18.
DFT (PBE) results for a geometry-optimized La5Pm2TmSc structure.

POSCAR file:
```
La5Pm2TmSc
1.0
-0.068 -8.120 2.240
7.751 -0.937 -3.164
-0.357 6.679 8.363
Pm La Tm Sc
4 10 2 2
Direct
0.373 0.873 0.000
0.627 0.127 0.000
0.127 0.373 0.000
0.873 0.627 0.000
0.500 0.500 0.000
0.633 0.133 0.710
0.000 0.000 0.000
0.867 0.924 0.290
0.924 0.424 0.290
0.133 0.076 0.710
0.367 0.867 0.290
0.076 0.576 0.710
0.424 0.367 0.290
0.576 0.633 0.710
0.250 0.250 0.500
0.750 0.750 0.500
0.750 0.250 0.500
0.250 0.750 0.500
```

Results
Symmetry: I4/mcm
ρ: 6.30 g/cm3
Total magnetization: 0.00 Bohr magnetons per cell
Energy relative to the elements: 2.5 eV/f.u.

***

19.
DFT (PBE) results for a geometry-optimized FeTcI2 structure.

POSCAR file:
```
FeTcI2
1.0
-4.179 -4.045 0.578
3.995 -4.219 -0.631
0.759 -4.188 5.734
I Fe Tc
4 2 2
Direct
0.875 0.855 0.750
0.145 0.625 0.250
0.375 0.395 0.750
0.605 0.125 0.250
0.500 0.500 0.000
0.250 0.750 0.500
0.000 0.000 0.000
0.750 0.250 0.500
```

Results
Symmetry: I-42d
Formation energy from raw total energies: 997 meV/atom
E above lowest polymorph: 0.000 eV per atom
ρ: 6.81 g/cm3
Total magnetization: 0.00 Bohr magnetons per cell

***

20.
DFT (PBE) results for a geometry-optimized NbGeTePO structure.

POSCAR file:
```
NbGeTePO
1.0
3.562 -0.003 0.002
-1.774 5.104 -0.001
-0.010 -2.791 5.076
Te O Ge P Nb
1 1 1 1 1
Direct
0.412 0.874 0.275
0.222 0.496 0.559
0.790 0.634 0.761
0.586 0.223 0.854
0.089 0.228 0.148
```

Results
Symmetry: Cm
Formation energy from raw total energies: -606 meV/atom
E above lowest polymorph: 0.108 eV per atom
ρ: 6.12 g/cm3
Total magnetization: 0.00 Bohr magnetons per cell

***

21.
DFT (PBE) results for a geometry-optimized ZrScCl2 structure.

POSCAR file:
```
ZrScCl2
1.0
-8.890 -3.742 -1.911
-8.142 -5.422 0.995
-9.501 -2.265 1.135
Zr Sc Cl
1 1 2
Direct
0.750 0.750 0.750
0.502 0.502 0.502
0.023 0.023 0.023
0.226 0.226 0.226
```

Results
Symmetry: R3m
Formation energy from raw total energies: -1352 meV/atom
E above lowest polymorph: 0.000 eV per atom
ρ: 3.49 g/cm3
Total magnetization: 0.61 Bohr magnetons per cell

***

22.
DFT (PBE) results for a geometry-optimized Ce2TmPu3Te6 structure.

POSCAR file:
```
Ce2TmPu3Te6
1.0
-1.550 3.666 -1.916
-8.143 -3.595 -0.293
0.848 2.659 9.496
Te Pu Tm Ce
6 3 1 2
Direct
0.666 0.587 0.331
0.334 0.413 0.669
0.997 0.241 0.994
0.337 0.923 0.674
0.003 0.759 0.006
0.663 0.077 0.326
0.830 0.166 0.660
0.500 0.500 0.000
0.170 0.834 0.340
0.500 0.000 0.000
0.166 0.333 0.331
0.834 0.667 0.669
```

Results
Symmetry: C2/m
Formation energy from raw total energies: -1206 meV/atom
ρ: 8.74 g/cm3
Total magnetization: 20.19 Bohr magnetons per cell

***

23.
DFT (PBE) results for a geometry-optimized ThFe2Ni4 structure.

POSCAR file:
```
ThFe2Ni4
1.0
4.283 0.004 2.295
1.993 4.455 1.430
0.044 -0.322 5.076
Ni Fe Th
4 2 1
Direct
0.697 0.000 0.607
0.303 0.000 0.393
0.303 0.393 0.000
0.697 0.607 0.000
0.750 0.500 0.500
0.250 0.500 0.500
0.000 0.000 0.000
```

Results
Symmetry: Immm
ρ: 9.92 g/cm3
Total magnetization: 6.13 Bohr magnetons per cell
Energy relative to the elements: -1.7 eV/f.u.

***

no.,DOS(E_F) (states/eV/f.u.)
1,17.305
2,1.455
3,4.467
4,2.320
5,0.759
6,7.518
7,2.524
8,1.723
9,5.507
10,4.689
11,1.546
12,6.474
13,0.487
14,3.480
15,3.246
16,0.000
17,1.998
18,14.707
19,7.126
20,1.329
21,2.135
22,40.811
23,6.185